(1)
The following is a GGA-PBE calculation of crystalline RbTlSe2 at its relaxed geometry, from Alexandria via LeMat-Bulk.

Cell: 10.2756 5.0163 12.3126 Å, 90.00 115.01 90.00°
Space group P2_1/c (No. 14)
Inequivalent atoms, fractional coordinates:
Rb 0.1399 0.0078 0.1907
Tl 0.4358 0.1451 0.6237
Se 0.1260 0.5506 0.9716
Se 0.3174 0.6661 0.4586

Values from the calculation:
V: 575.17 Å³ per cell
E: -3.16 eV per atom

(2)
The following is a GGA-PBE calculation of crystalline CaAl2Au5 at its relaxed geometry, from Alexandria via LeMat-Bulk.

Cell: 4.1991 6.8254 11.3022 Å, 90.00 90.00 90.00°
Space group Immm (No. 71)
Inequivalent atoms, fractional coordinates:
Ca 0.0000 0.0000 0.0000
Al 0.0000 0.5000 0.2293
Au 0.0000 0.2133 0.3647
Au 0.0000 0.5000 0.0000

Values from the calculation:
V: 323.93 Å³ per cell
E: -3.71 eV per atom
Formation energy from the elements: -0.4773 eV/atom

(3)
The following is a GGA-PBE calculation of crystalline DyTl2SeO6 at its relaxed geometry, from Alexandria via LeMat-Bulk.

Cell: 6.0660 6.0660 5.7692 Å, 90.00 90.00 120.00°
Space group P-3m1 (No. 164)
Inequivalent atoms, fractional coordinates:
Dy 0.0000 0.0000 0.0000
Tl 0.3333 0.6667 0.4170
Se 0.0000 0.0000 0.5000
O 0.1403 0.2807 0.6926

Values from the calculation:
V: 183.84 Å³ per cell
E: -5.44 eV per atom

(4)
The following is a GGA-PBE calculation of crystalline CoPdI2 at its relaxed geometry, from Alexandria via LeMat-Bulk.

Cell: 7.0863 7.0863 7.0863 Å, 90.00 90.00 90.00°
Space group Fm-3m (No. 225)
Inequivalent atoms, fractional coordinates:
Co 0.0000 0.0000 0.0000
Pd 0.0000 0.0000 0.5000
I 0.2500 0.2500 0.2500

Values from the calculation:
V: 355.85 Å³ per cell
E: -3.20 eV per atom

(5)
The following is a GGA-PBE calculation of crystalline CdB at its relaxed geometry, from Alexandria via LeMat-Bulk.

Cell: 9.3044 9.3044 3.1076 Å, 90.00 90.00 90.00°
Space group P4/m (No. 83)
Inequivalent atoms, fractional coordinates:
Cd 0.1097 0.1892 0.0000
Cd 0.2924 0.6138 0.5000
B 0.0820 0.4515 0.0000
B 0.1296 0.4138 0.5000

Values from the calculation:
V: 269.03 Å³ per cell
E: -3.35 eV per atom
Formation energy from the elements: 0.4489 eV/atom

(6)
The following is a GGA-PBE calculation of crystalline KCu2Ir at its relaxed geometry, from Alexandria via LeMat-Bulk.

Cell: 6.9166 6.9591 2.6958 Å, 90.00 90.00 90.00°
Space group Cmmm (No. 65)
Inequivalent atoms, fractional coordinates:
K 0.0000 0.0000 0.0000
Cu 0.2500 0.2500 0.5000
Ir 0.0000 0.5000 0.0000

Values from the calculation:
V: 129.76 Å³ per cell
E: -3.93 eV per atom
Formation energy from the elements: 0.6049 eV/atom